Entry 1:
A relaxed BaY2AlCo crystal, computed with GGA-PBE.

a b c (Å): 5.285 5.285 4.953
angles (deg): 90.00 90.00 90.00
Fractional positions:
1 Ba 0.500 0.500 0.500
2 Y 0.000 0.500 0.000
3 Co 0.000 0.000 0.000
4 Y 0.500 0.000 0.000
5 Al 0.000 0.000 0.500

Results
D(E_F): 2.72 states/eV/cell
formation energy: -77.6 meV per atom
crystal system: tetragonal
final energy: -26.09 eV for the cell shown

Entry 2:
A relaxed Rb2CaCu crystal, computed with GGA-PBE.

a b c (Å): 6.512 6.512 6.512
angles (deg): 60.00 60.00 60.00
Fractional positions:
1 Rb 0.750 0.750 0.750
2 Ca 0.000 0.000 0.000
3 Cu 0.500 0.500 0.500
4 Rb 0.250 0.250 0.250

Results
D(E_F): 2.85 states/eV/cell
formation energy: 550.7 meV per atom
crystal system: cubic
E above lowest polymorph: 0.195 eV per atom
final energy: -5.83 eV for the cell shown

Entry 3:
A relaxed TiAlCr3 crystal, computed with GGA-PBE.

a b c (Å): 4.291 4.291 4.291
angles (deg): 90.00 90.00 90.00
Last column: magnetic moment on the atom in μB.
Fractional positions:
1 Cr 0.500 0.000 0.000  0.46
2 Al 0.500 0.500 0.500  -0.02
3 Ti 0.000 0.000 0.000  -0.09
4 Cr 0.000 0.000 0.500  0.41
5 Cr 0.000 0.500 0.000  0.36

Results
D(E_F): 6.86 states/eV/cell
formation energy: 1337.3 meV per atom
crystal system: cubic
E above lowest polymorph: 0.056 eV per atom
final energy: -33.82 eV for the cell shown

Entry 4:
A relaxed CsCa2HgRh crystal, computed with GGA-PBE.

a b c (Å): 5.544 5.544 5.650
angles (deg): 90.00 90.00 90.00
Fractional positions:
1 Ca 0.500 0.000 0.000
2 Ca 0.000 0.500 0.000
3 Hg 0.000 0.000 0.500
4 Cs 0.500 0.500 0.500
5 Rh 0.000 0.000 0.000

Results
D(E_F): 2.76 states/eV/cell
formation energy: -151.8 meV per atom
crystal system: tetragonal
final energy: -13.27 eV for the cell shown

Entry 5:
A relaxed Ba4BiIBr2 crystal, computed with GGA-PBE.

a b c (Å): 5.015 8.413 8.557
angles (deg): 69.77 90.00 90.00
Fractional positions:
1 Ba 0.500 0.757 0.239
2 Ba 0.000 0.751 0.759
3 Br 0.500 0.000 0.500
4 I 0.000 0.500 0.500
5 Ba 0.000 0.249 0.241
6 Ba 0.500 0.243 0.761
7 Br 0.000 0.000 0.000
8 Bi 0.500 0.500 0.000

Results
raw formation energy: -1.436 eV/atom
D(E_F): 3.75 states/eV/cell
crystal system: monoclinic
final energy: -27.95 eV for the cell shown

Entry 6:
A relaxed TmNiIr crystal, computed with GGA-PBE.

a b c (Å): 5.176 5.176 5.176
angles (deg): 90.49 117.43 122.06
Fractional positions:
1 Ir 0.500 0.500 0.500
2 Ir 0.000 0.500 0.000
3 Tm 0.750 0.878 0.128
4 Tm 0.250 0.122 0.872
5 Ni 0.500 0.000 0.500
6 Ni 0.000 0.500 0.500

Results
D(E_F): 5.32 states/eV/cell
formation energy: -712.9 meV per atom
crystal system: orthorhombic
final energy: -42.51 eV for the cell shown

Entry 7:
A relaxed TlCoCl2 crystal, computed with GGA-PBE.

a b c (Å): 3.196 3.196 8.596
angles (deg): 90.00 90.00 90.00
Last column: magnetic moment on the atom in μB.
Fractional positions:
1 Tl 0.500 0.500 0.750  -0.01
2 Cl 0.000 0.000 0.423  0.11
3 Cl 0.000 0.000 0.077  0.11
4 Co 0.500 0.500 0.250  2.23

Results
raw formation energy: -0.127 eV/atom
D(E_F): 3.06 states/eV/cell
crystal system: tetragonal
E above lowest polymorph: 0.318 eV per atom
final energy: -13.67 eV for the cell shown

Entry 8:
A relaxed Cs2NaOsCl6 crystal, computed with GGA-PBE.

a b c (Å): 7.397 7.397 7.397
angles (deg): 60.00 60.00 90.00
Last column: magnetic moment on the atom in μB.
Fractional positions:
1 Cl 0.229 0.229 0.542  0.02
2 Cs 0.750 0.250 0.500  0.00
3 Cl 0.771 0.229 0.000  0.02
4 Cl 0.771 0.771 0.000  0.02
5 Cs 0.250 0.750 0.500  0.00
6 Cl 0.229 0.229 0.000  0.02
7 Na 0.500 0.500 0.000  0.00
8 Cl 0.771 0.771 0.458  0.02
9 Os 0.000 0.000 0.000  0.75
10 Cl 0.229 0.771 0.000  0.02

Results
raw formation energy: -1.281 eV/atom
D(E_F): 13.51 states/eV/cell
crystal system: cubic
final energy: -38.15 eV for the cell shown

Entry 9:
A relaxed MnReCl2 crystal, computed with GGA-PBE.

a b c (Å): 5.252 5.252 3.129
angles (deg): 70.11 70.11 106.90
Last column: magnetic moment on the atom in μB.
Fractional positions:
1 Re 0.000 0.500 0.500  -1.71
2 Cl 0.500 0.500 0.000  -0.01
3 Cl 0.000 0.000 0.000  -0.01
4 Mn 0.500 0.000 0.500  3.84

Results
raw formation energy: 0.668 eV/atom
D(E_F): 2.15 states/eV/cell
crystal system: monoclinic
E above lowest polymorph: 0.786 eV per atom
final energy: -22.64 eV for the cell shown

Entry 10:
A relaxed LaPrThSc crystal, computed with GGA-PBE.

a b c (Å): 5.681 5.681 5.681
angles (deg): 60.00 60.00 60.00
Fractional positions:
1 Sc 0.000 0.000 0.000
2 Th 0.500 0.500 0.500
3 La 0.250 0.250 0.250
4 Pr 0.750 0.750 0.750

Results
D(E_F): 10.91 states/eV/cell
formation energy: 222.9 meV per atom
crystal system: cubic
E above lowest polymorph: 0.177 eV per atom
final energy: -22.57 eV for the cell shown

Entry 11:
A relaxed Sr2LiPm crystal, computed with GGA-PBE.

a b c (Å): 3.806 3.806 13.308
angles (deg): 81.78 81.78 60.00
Last column: magnetic moment on the atom in μB.
Fractional positions:
1 Li 0.500 0.500 0.500  0.00
2 Sr 0.908 0.908 0.277  0.02
3 Sr 0.092 0.092 0.723  0.02
4 Pm 0.000 0.000 0.000  0.26

Results
D(E_F): 5.25 states/eV/cell
formation energy: 321.5 meV per atom
crystal system: trigonal
E above lowest polymorph: 0.183 eV per atom
final energy: -8.74 eV for the cell shown

Entry 12:
A relaxed La4ZnPt crystal, computed with GGA-PBE.

a b c (Å): 10.064 10.064 10.064
angles (deg): 60.00 60.00 60.00
Fractional positions:
1 La 0.813 0.813 0.187
2 Pt 0.607 0.180 0.607
3 Zn 0.170 0.170 0.489
4 La 0.396 0.396 0.811
5 Pt 0.607 0.607 0.607
6 La 0.555 0.945 0.945
7 La 0.396 0.396 0.396
8 Zn 0.170 0.489 0.170
9 La 0.813 0.187 0.187
10 Zn 0.170 0.170 0.170
11 Zn 0.489 0.170 0.170
12 Pt 0.607 0.607 0.180
13 La 0.811 0.396 0.396
14 La 0.945 0.555 0.945
15 La 0.813 0.187 0.813
16 La 0.187 0.187 0.813
17 Pt 0.180 0.607 0.607
18 La 0.187 0.813 0.187
19 La 0.555 0.945 0.555
20 La 0.945 0.555 0.555
21 La 0.555 0.555 0.945
22 La 0.945 0.945 0.555
23 La 0.187 0.813 0.813
24 La 0.396 0.811 0.396

Results
D(E_F): 21.12 states/eV/cell
formation energy: -510.7 meV per atom
crystal system: cubic
E above lowest polymorph: 0.000 eV per atom
final energy: -120.35 eV for the cell shown

Entry 13:
A relaxed VMo2Rh crystal, computed with GGA-PBE.

a b c (Å): 4.130 3.802 3.802
angles (deg): 90.00 90.00 90.00
Fractional positions:
1 Rh 0.500 0.000 0.000
2 Mo 0.000 0.000 0.500
3 Mo 0.000 0.500 0.000
4 V 0.500 0.500 0.500

Results
D(E_F): 3.98 states/eV/cell
formation energy: 4.4 meV per atom
crystal system: tetragonal
E above lowest polymorph: 0.000 eV per atom
final energy: -38.11 eV for the cell shown

Entry 14:
A relaxed CuNiBr crystal, computed with GGA-PBE.

a b c (Å): 3.300 3.300 5.277
angles (deg): 90.00 90.00 120.00
Last column: magnetic moment on the atom in μB.
Fractional positions:
1 Br 0.000 0.000 0.972  0.09
2 Cu 0.667 0.333 0.366  0.04
3 Ni 0.333 0.667 0.662  0.45

Results
raw formation energy: 0.387 eV/atom
D(E_F): 3.08 states/eV/cell
crystal system: trigonal
E above lowest polymorph: 0.068 eV per atom
final energy: -10.39 eV for the cell shown

Entry 15:
A relaxed BaCdNi2 crystal, computed with GGA-PBE.

a b c (Å): 3.990 4.134 6.000
angles (deg): 69.95 90.00 90.00
Fractional positions:
1 Cd 0.500 0.746 0.885
2 Ni 0.000 0.189 0.988
3 Ba 0.000 0.469 0.440
4 Ni 0.500 0.096 0.187

Results
D(E_F): 3.13 states/eV/cell
formation energy: 96.5 meV per atom
crystal system: monoclinic
final energy: -14.01 eV for the cell shown

Entry 16:
A relaxed Nd7Tl5Zn crystal, computed with GGA-PBE.

a b c (Å): 6.851 8.442 8.442
angles (deg): 79.19 66.06 66.06
Fractional positions:
1 Zn 0.954 0.046 0.046
2 Tl 0.775 0.725 0.725
3 Nd 0.613 0.387 0.387
4 Tl 0.525 0.472 0.998
5 Nd 0.009 0.300 0.681
6 Nd 0.009 0.681 0.300
7 Nd 0.526 0.148 0.799
8 Tl 0.005 0.998 0.472
9 Nd 0.526 0.799 0.148
10 Nd 0.244 0.756 0.756
11 Tl 0.525 0.998 0.472
12 Tl 0.005 0.472 0.998
13 Nd 0.283 0.217 0.217

Results
D(E_F): 12.24 states/eV/cell
formation energy: -150.0 meV per atom
crystal system: orthorhombic
final energy: -48.43 eV for the cell shown

Entry 17:
A relaxed Ca2HgSb crystal, computed with GGA-PBE.

a b c (Å): 8.444 5.175 4.215
angles (deg): 89.96 60.11 127.80
Fractional positions:
1 Hg 0.000 0.500 0.500
2 Sb 0.500 0.500 0.000
3 Ca 0.500 0.000 0.500
4 Ca 0.000 0.000 0.000

Results
raw formation energy: -0.776 eV/atom
D(E_F): 1.20 states/eV/cell
crystal system: tetragonal
E above lowest polymorph: 0.009 eV per atom
final energy: -11.53 eV for the cell shown

Entry 18:
A relaxed Tb2NdHoEr4 crystal, computed with GGA-PBE.

a b c (Å): 9.462 9.462 11.716
angles (deg): 128.25 128.25 88.71
Last column: magnetic moment on the atom in μB.
Fractional positions:
1 Er 0.747 0.749 0.998  0.32
2 Er 0.250 0.752 0.001  0.30
3 Er 0.249 0.247 0.498  0.32
4 Er 0.748 0.250 0.499  0.30
5 Nd 0.000 0.500 0.500  0.26
6 Er 0.252 0.750 0.501  0.30
7 Tb 0.500 0.500 0.000  0.32
8 Tb 0.500 0.000 0.000  0.27
9 Nd 0.000 0.500 0.000  0.26
10 Er 0.253 0.251 0.002  0.32
11 Er 0.751 0.753 0.502  0.32
12 Ho 0.500 0.500 0.500  0.31
13 Tb 0.500 0.000 0.500  0.27
14 Ho 0.000 0.000 0.000  0.31
15 Er 0.750 0.248 0.999  0.30
16 Tb 0.000 0.000 0.500  0.32

Results
D(E_F): 34.57 states/eV/cell
formation energy: 439.3 meV per atom
crystal system: monoclinic
final energy: -66.69 eV for the cell shown

Entry 19:
A relaxed Li2ZrTeRu crystal, computed with GGA-PBE.

a b c (Å): 4.561 4.993 4.561
angles (deg): 90.00 90.00 90.00
Last column: magnetic moment on the atom in μB.
Fractional positions:
1 Li 0.000 0.000 0.500  0.00
2 Ru 0.000 0.500 0.000  -0.19
3 Te 0.000 0.000 0.000  -0.01
4 Li 0.500 0.000 0.000  0.01
5 Zr 0.500 0.500 0.500  0.25

Results
raw formation energy: 0.499 eV/atom
D(E_F): 3.28 states/eV/cell
crystal system: tetragonal
final energy: -22.30 eV for the cell shown

Entry 20:
A relaxed CdMo2Au crystal, computed with GGA-PBE.

a b c (Å): 4.987 4.987 4.987
angles (deg): 131.33 131.33 71.28
Fractional positions:
1 Cd 0.750 0.250 0.500
2 Au 0.500 0.500 0.000
3 Mo 0.250 0.750 0.500
4 Mo 0.000 0.000 0.000

Results
D(E_F): 2.88 states/eV/cell
formation energy: 395.7 meV per atom
crystal system: tetragonal
final energy: -24.27 eV for the cell shown

Entry 21:
A relaxed FeCoI2 crystal, computed with GGA-PBE.

a b c (Å): 5.783 5.783 7.045
angles (deg): 65.77 65.77 90.00
Last column: magnetic moment on the atom in μB.
Fractional positions:
1 Fe 0.500 0.500 0.000  0.02
2 Fe 0.250 0.750 0.500  0.02
3 Co 0.000 0.000 0.000  1.38
4 Co 0.750 0.250 0.500  1.39
5 I 0.620 0.125 0.250  0.04
6 I 0.875 0.870 0.750  0.03
7 I 0.375 0.380 0.750  0.03
8 I 0.130 0.625 0.250  0.04

Results
raw formation energy: 0.648 eV/atom
D(E_F): 16.86 states/eV/cell
crystal system: tetragonal
E above lowest polymorph: 0.000 eV per atom
final energy: -32.16 eV for the cell shown